# LaSmAg2Te4, relaxed, DFT PBE
data_LaSmAg2Te4
_chemical_formula_sum 'La2 Sm2 Ag4 Te8'
_cell_length_a 7.638
_cell_length_b 7.742
_cell_length_c 8.644
_cell_angle_alpha 90.00
_cell_angle_beta 90.00
_cell_angle_gamma 90.00
_symmetry_space_group_name_H-M 'I 2 2 2'
_symmetry_Int_Tables_number 23
loop_
_symmetry_equiv_pos_as_xyz
'x,y,z'
'-x,-y,z'
'x,-y,-z'
'-x,y,-z'
'x+1/2,y+1/2,z+1/2'
'-x+1/2,-y+1/2,z+1/2'
'x+1/2,-y+1/2,-z+1/2'
'-x+1/2,y+1/2,-z+1/2'
loop_
_atom_site_label
_atom_site_fract_x
_atom_site_fract_y
_atom_site_fract_z
_atom_site_occupancy
La1 0.000 0.000 0.000 1
Sm1 0.000 0.000 0.500 1
Ag1 0.000 0.500 0.163 1
Te1 0.237 0.242 0.311 1
# * N(E_F): 0.162 states/eV per atom
# * M_tot: 0.00 μB/f.u.
# * DFT total energy: -68.71 eV per cell